Record 1
# TaMnMoIr

A geometry-optimized TaMnMoIr structure (PBE-GGA, Alexandria via LeMat-Bulk).

## Properties
ρ = 14.1 g cm⁻³
E_form = -0.218 eV/atom

a b c (Å): 4.4307 4.4307 4.4307
angles (deg): 60.00 60.00 60.00
Last column: magnetic moment on the atom in μB.
Sites, in units of the cell vectors:
Mo  0.2500  0.2500  0.2500  -0.47
Mn  0.5000  0.5000  0.5000  3.03
Ta  0.0000  0.0000  0.0000  0.06
Ir  0.7500  0.7500  0.7500  0.18

***

Record 2
# MnTcMo2Ir

A geometry-optimized MnTcMo2Ir structure (PBE-GGA, Alexandria via LeMat-Bulk).

## Properties
ρ = 9.2 g cm⁻³
E_form = 1.818 eV/atom

a b c (Å): 4.7092 4.3901 4.7092
angles (deg): 90.00 90.00 90.00
Last column: magnetic moment on the atom in μB.
Sites, in units of the cell vectors:
Ir  0.0000  0.0000  0.0000  0.07
Mo  0.0000  0.0000  0.5000  -0.34
Mo  0.5000  0.0000  0.0000  -0.29
Mn  0.0000  0.5000  0.0000  -0.12
Tc  0.5000  0.5000  0.5000  2.26

***

Record 3
# MnVMoIr

A geometry-optimized MnVMoIr structure (PBE-GGA, Alexandria via LeMat-Bulk).

## Properties
ρ = 11.7 g cm⁻³
E_form = -0.213 eV/atom

a b c (Å): 4.2964 4.2964 4.2964
angles (deg): 60.00 60.00 60.00
Last column: magnetic moment on the atom in μB.
Sites, in units of the cell vectors:
Ir  0.0000  0.0000  0.0000  0.17
V  0.7500  0.7500  0.7500  0.32
Mn  0.2500  0.2500  0.2500  2.78
Mo  0.5000  0.5000  0.5000  -0.49